[1]
## YZnPbS3 (GGA-PBE)

Data for a geometry-optimized YZnPbS3 structure.

a = 7.1934 Å, b = 7.1934 Å, c = 10.5095 Å
α = 90.00°, β = 90.00°, γ = 148.73°
Atoms (fractional coordinates):
Y 0.0000 0.0000 0.0000
Y 0.0000 0.0000 0.5000
Zn 0.4462 0.5538 0.7500
Zn 0.5538 0.4462 0.2500
Pb 0.2511 0.7489 0.2500
Pb 0.7489 0.2511 0.7500
S 0.0562 0.9438 0.7500
S 0.3658 0.6342 0.5498
S 0.3658 0.6342 0.9502
S 0.6342 0.3658 0.0498
S 0.6342 0.3658 0.4502
S 0.9438 0.0562 0.2500

=====

[2]
## Zn2PbS3 (GGA-PBE)

Data for a geometry-optimized Zn2PbS3 structure.

a = 6.7981 Å, b = 6.7981 Å, c = 9.9155 Å
α = 90.00°, β = 90.00°, γ = 147.53°
Atoms (fractional coordinates):
Zn 0.0000 0.0000 0.0000
Zn 0.0000 0.0000 0.5000
Zn 0.4750 0.5250 0.7500
Zn 0.5250 0.4750 0.2500
Pb 0.2418 0.7582 0.2500
Pb 0.7582 0.2418 0.7500
S 0.0806 0.9194 0.7500
S 0.3730 0.6270 0.5592
S 0.3730 0.6270 0.9408
S 0.6270 0.3730 0.0592
S 0.6270 0.3730 0.4408
S 0.9194 0.0806 0.2500

=====

[3]
## ZrZnPbS3 (GGA-PBE)

Data for a geometry-optimized ZrZnPbS3 structure.

a = 7.7264 Å, b = 7.7264 Å, c = 9.9246 Å
α = 90.00°, β = 90.00°, γ = 153.60°
Atoms (fractional coordinates):
Zr 0.0000 0.0000 0.0000
Zr 0.0000 0.0000 0.5000
Zn 0.4448 0.5552 0.7500
Zn 0.5552 0.4448 0.2500
Pb 0.2669 0.7331 0.2500
Pb 0.7331 0.2669 0.7500
S 0.0539 0.9461 0.7500
S 0.3724 0.6276 0.5433
S 0.3724 0.6276 0.9567
S 0.6276 0.3724 0.0433
S 0.6276 0.3724 0.4567
S 0.9461 0.0539 0.2500

=====

[4]
## Zr2PbS4 (GGA-PBE)

Data for a geometry-optimized Zr2PbS4 structure.

a = 6.1735 Å, b = 6.1735 Å, c = 10.1603 Å
α = 90.00°, β = 90.00°, γ = 115.63°
Atoms (fractional coordinates):
Zr 0.2400 0.7554 0.0000
Zr 0.2446 0.7600 0.5000
Zr 0.7554 0.2400 0.5000
Zr 0.7600 0.2446 0.0000
Pb 0.5000 0.5000 0.2500
Pb 0.5000 0.5000 0.7500
S 0.0000 0.5000 0.3150
S 0.0000 0.5000 0.6850
S 0.1927 0.3275 0.0000
S 0.3275 0.1927 0.5000
S 0.5000 0.0000 0.1850
S 0.5000 0.0000 0.8150
S 0.6725 0.8073 0.5000
S 0.8073 0.6725 0.0000

=====

no.,E_tot (eV/atom),calculated volume (Å³/cell)
1,-4.96,282.3
2,-3.60,246.0
3,-5.08,263.4
4,-6.30,349.1